1.
ErHgN | GGA-PBE | relaxed

The space group is Cmce (No. 64) and the conventional cell measures 10.250, 7.507 and 7.465 Å, with angles of 90.00, 90.00 and 90.00 degrees. The asymmetric unit holds Er at (0.000, 0.147, 0.152), Hg at (0.209, 0.000, 0.500) and N at (0.000, 0.144, 0.860).

Its density is 8.8 Mg/m³.

2.
Er6HgN | GGA-PBE | relaxed

The space group is P-1 (No. 2) and the conventional cell measures 6.495, 6.506 and 6.938 Å, with angles of 90.09, 117.80 and 119.92 degrees. The asymmetric unit holds Er at (0.066, 0.100, 0.269), Er at (0.303, 0.703, 0.269), Er at (0.329, 0.533, 0.731), Hg at (0.500, 0.000, 0.000) and N at (0.500, 0.500, 0.500).

Its density is 9.5 Mg/m³.

3.
Er6Hg2N | GGA-PBE | relaxed

The space group is P2_1/c (No. 14) and the conventional cell measures 6.816, 6.784 and 11.692 Å, with angles of 90.00, 125.51 and 90.00 degrees. The asymmetric unit holds Er at (0.167, 0.000, 0.243), Er at (0.284, 0.246, 0.040), Er at (0.285, 0.745, 0.540), Hg at (0.256, 0.501, 0.250) and N at (0.000, 0.000, 0.000).

Its density is 10.7 Mg/m³.

4.
PmEr2HgN | GGA-PBE | relaxed

The space group is P4/mmm (No. 123) and the conventional cell measures 4.759, 4.759 and 4.963 Å, with angles of 90.00, 90.00 and 90.00 degrees. The asymmetric unit holds Pm at (0.000, 0.000, 0.000), Er at (0.000, 0.500, 0.500), Hg at (0.500, 0.500, 0.000) and N at (0.000, 0.000, 0.500).

Its density is 10.3 Mg/m³.

| no. | calculated volume (Å³ per cell) | raw total energy (eV per atom) | total moment (μB per atom) |
| --- | --- | --- | --- |
| 1 | 574.38 | -4.893 | 0.000 |
| 2 | 214.04 | -4.876 | 0.000 |
| 3 | 440.09 | -4.645 | 0.000 |
| 4 | 112.40 | -5.392 | 0.000 |